Entry 1:
Below is a relaxed structure of Hf2BiSbIr2, with properties calculated at the PBE-GGA level.

total DFT energy (no corrections): -8.3926 eV per atom

The structure in CIF format:
```
data_Hf2BiSbIr2
_chemical_formula_sum 'Hf8 Bi4 Sb4 Ir8'
_cell_length_a 11.070
_cell_length_b 4.516
_cell_length_c 11.079
_cell_angle_alpha 90.00
_cell_angle_beta 109.49
_cell_angle_gamma 90.00
_space_group_name_H-M_alt 'P 1'
_space_group_IT_number 1
loop_
_space_group_symop_operation_xyz
'x,y,z'
loop_
_atom_site_label
_atom_site_type_symbol
_atom_site_fract_x
_atom_site_fract_y
_atom_site_fract_z
_atom_site_occupancy
Ir1 Ir 0.120 0.000 0.376 1
Ir2 Ir 0.876 0.000 0.625 1
Ir3 Ir 0.249 0.500 0.754 1
Ir4 Ir 0.999 0.500 0.993 1
Ir5 Ir 0.376 0.000 0.121 1
Ir6 Ir 0.505 0.500 0.504 1
Ir7 Ir 0.755 0.500 0.255 1
Ir8 Ir 0.620 0.000 0.870 1
Hf1 Hf 0.999 0.500 0.251 1
Hf2 Hf 0.626 0.000 0.125 1
Hf3 Hf 0.377 0.000 0.377 1
Hf4 Hf 0.874 0.000 0.871 1
Hf5 Hf 0.250 0.500 0.997 1
Hf6 Hf 0.123 0.000 0.627 1
Hf7 Hf 0.752 0.500 0.502 1
Hf8 Hf 0.499 0.500 0.750 1
Bi1 Bi 0.250 0.500 0.501 1
Bi2 Bi 0.501 0.500 0.251 1
Bi3 Bi 0.750 0.500 0.000 1
Bi4 Bi 0.125 0.000 0.125 1
Sb1 Sb 0.626 0.000 0.625 1
Sb2 Sb 0.000 0.500 0.749 1
Sb3 Sb 0.875 0.000 0.376 1
Sb4 Sb 0.375 0.000 0.874 1
```

=====

Entry 2:
Below is a relaxed structure of Hf3Zr3Bi2Ir, with properties calculated at the PBE-GGA level.

energy relative to the lowest polymorph listed for this composition: 93 meV/atom

The structure in CIF format:
```
data_Hf3Zr3Bi2Ir
_chemical_formula_sum 'Hf3 Zr3 Bi2 Ir1'
_cell_length_a 7.983
_cell_length_b 7.983
_cell_length_c 3.655
_cell_angle_alpha 90.00
_cell_angle_beta 90.00
_cell_angle_gamma 120.00
_space_group_name_H-M_alt 'P 1'
_space_group_IT_number 1
loop_
_space_group_symop_operation_xyz
'x,y,z'
loop_
_atom_site_label
_atom_site_type_symbol
_atom_site_fract_x
_atom_site_fract_y
_atom_site_fract_z
_atom_site_occupancy
Hf1 Hf 0.391 0.000 0.000 1
Hf2 Hf 0.000 0.391 0.000 1
Hf3 Hf 0.609 0.609 0.000 1
Zr1 Zr 0.751 0.000 0.500 1
Zr2 Zr 0.000 0.751 0.500 1
Zr3 Zr 0.249 0.249 0.500 1
Bi1 Bi 0.333 0.667 0.500 1
Bi2 Bi 0.667 0.333 0.500 1
Ir1 Ir 0.000 0.000 0.000 1
```

=====

Entry 3:
Below is a relaxed structure of Hf3Zr3Bi2Ir, with properties calculated at the PBE-GGA level.

energy relative to the lowest polymorph listed for this composition: 0 meV/atom

The structure in CIF format:
```
data_Hf3Zr3Bi2Ir
_chemical_formula_sum 'Hf3 Zr3 Bi2 Ir1'
_cell_length_a 7.967
_cell_length_b 7.967
_cell_length_c 3.676
_cell_angle_alpha 90.00
_cell_angle_beta 90.00
_cell_angle_gamma 120.00
_space_group_name_H-M_alt 'P 1'
_space_group_IT_number 1
loop_
_space_group_symop_operation_xyz
'x,y,z'
loop_
_atom_site_label
_atom_site_type_symbol
_atom_site_fract_x
_atom_site_fract_y
_atom_site_fract_z
_atom_site_occupancy
Zr1 Zr 0.396 0.000 0.000 1
Zr2 Zr 0.604 0.604 0.000 1
Zr3 Zr 0.000 0.396 0.000 1
Ir1 Ir 0.000 0.000 0.000 1
Hf1 Hf 0.243 0.243 0.500 1
Hf2 Hf 0.757 0.000 0.500 1
Hf3 Hf 0.000 0.757 0.500 1
Bi1 Bi 0.667 0.333 0.500 1
Bi2 Bi 0.333 0.667 0.500 1
```

=====

Entry 4:
Below is a relaxed structure of KHfBi, with properties calculated at the PBE-GGA level.

total DFT energy (no corrections): -4.2473 eV per atom

The structure in CIF format:
```
data_KHfBi
_chemical_formula_sum 'K1 Hf1 Bi1'
_cell_length_a 5.233
_cell_length_b 5.233
_cell_length_c 5.233
_cell_angle_alpha 60.00
_cell_angle_beta 60.00
_cell_angle_gamma 60.00
_space_group_name_H-M_alt 'P 1'
_space_group_IT_number 1
loop_
_space_group_symop_operation_xyz
'x,y,z'
loop_
_atom_site_label
_atom_site_type_symbol
_atom_site_fract_x
_atom_site_fract_y
_atom_site_fract_z
_atom_site_occupancy
Bi1 Bi 0.250 0.250 0.250 1
Hf1 Hf 0.000 0.000 0.000 1
K1 K 0.750 0.750 0.750 1
```